1.
Sc4AlZn, relaxed, DFT PBE-GGA; ΔE_f = 277 meV per atom; DOS(E_F) = 0.902 states/eV per atom; calculated volume = 22.16 Å³/atom; ΔE to the lowest computed polymorph = 1.92 eV/f.u.; space group = F-43m
1.0
3.249 3.254 3.417
-2.252 2.331 4.724
1.551 -1.930 5.166
Sc Al Zn
4 1 1
Direct
0.374 0.374 0.877
0.374 0.374 0.374
0.374 0.877 0.374
0.877 0.374 0.374
0.000 0.000 0.000
0.750 0.750 0.750

***

2.
BaSi2NiAs8, relaxed, DFT PBE-GGA; ΔE_f (raw) = -1.5 kcal/mol of atoms; DOS(E_F) = 0.615 states/eV per atom; calculated volume = 22.30 Å³/atom; space group = R-3
1.0
6.149 0.000 0.000
3.074 5.325 0.000
3.074 1.775 8.173
As Ba Si Ni
8 1 2 1
Direct
0.071 0.388 0.882
0.659 0.071 0.882
0.850 0.850 0.450
0.388 0.659 0.882
0.929 0.612 0.118
0.150 0.150 0.550
0.612 0.341 0.118
0.341 0.929 0.118
0.500 0.500 0.500
0.755 0.755 0.734
0.245 0.245 0.266
0.000 0.000 0.000